No. 1
This record from Alexandria describes a relaxed structure of ZrCoSb2Mo. The functional is GGA-PBEsol. Values from VASP.

Quantum ESPRESSO input file:
```
&SYSTEM
  ibrav = 0, nat = 5, ntyp = 4
/
ATOMIC_SPECIES
Zr 91.22 Zr.upf
Co 58.93 Co.upf
Sb 121.76 Sb.upf
Mo 95.94 Mo.upf
CELL_PARAMETERS angstrom
4.739 0.000 0.000
0.000 4.739 0.000
0.000 0.000 4.557
ATOMIC_POSITIONS angstrom
Zr 0.000 0.000 0.000
Co 0.000 0.000 2.278
Sb 0.000 2.370 2.278
Sb 2.370 0.000 2.278
Mo 2.370 2.370 0.000
```

## Properties
- Space group: P4/mmm, No. 123
- Total moment: 0.312 μB per atom
- E_form (uncorrected): 669 meV per atom

No. 2
This record from Alexandria describes a relaxed structure of Co2MoSe. The functional is GGA-PBEsol. Values from VASP.

Quantum ESPRESSO input file:
```
&SYSTEM
  ibrav = 0, nat = 4, ntyp = 3
/
ATOMIC_SPECIES
Co 58.93 Co.upf
Mo 95.94 Mo.upf
Se 78.96 Se.upf
CELL_PARAMETERS angstrom
0.000 2.950 2.950
2.950 0.000 2.950
2.950 2.950 0.000
ATOMIC_POSITIONS angstrom
Co 1.475 1.475 1.475
Co 4.425 4.425 4.425
Mo 0.000 0.000 0.000
Se 2.950 2.950 2.950
```

## Properties
- Space group: Fm-3m, No. 225
- Total moment: 0.229 μB per atom
- E_form (uncorrected): 501 meV per atom

No. 3
This record from Alexandria describes a relaxed structure of Co3MoSe. The functional is GGA-PBEsol. Values from VASP.

Quantum ESPRESSO input file:
```
&SYSTEM
  ibrav = 0, nat = 5, ntyp = 3
/
ATOMIC_SPECIES
Co 58.93 Co.upf
Mo 95.94 Mo.upf
Se 78.96 Se.upf
CELL_PARAMETERS angstrom
4.199 0.000 0.000
0.000 4.199 0.000
0.000 0.000 4.199
ATOMIC_POSITIONS angstrom
Co 0.000 0.000 2.099
Co 0.000 2.099 0.000
Co 2.099 0.000 0.000
Mo 2.099 2.099 2.099
Se 0.000 0.000 0.000
```

## Properties
- Space group: Pm-3m, No. 221
- Total moment: 1.094 μB per atom
- E_form (uncorrected): 1046 meV per atom

No. 4
This record from Alexandria describes a relaxed structure of CoMo2Se. The functional is GGA-PBEsol. Values from VASP.

Quantum ESPRESSO input file:
```
&SYSTEM
  ibrav = 0, nat = 4, ntyp = 3
/
ATOMIC_SPECIES
Co 58.93 Co.upf
Mo 95.94 Mo.upf
Se 78.96 Se.upf
CELL_PARAMETERS angstrom
1.427 0.824 8.052
-1.427 0.824 8.052
0.000 -1.648 8.052
ATOMIC_POSITIONS angstrom
Co 0.000 0.000 0.000
Mo 0.000 0.000 6.074
Mo 0.000 0.000 18.083
Se 0.000 0.000 12.079
```

## Properties
- Space group: R-3m, No. 166
- Total moment: 0.006 μB per atom
- Energy above the most stable polymorph in this dataset: 0 meV/atom
- E_form (uncorrected): 303 meV per atom